[1]
DFT (PBE) results for a relaxed TmInPO crystal.

Values from the calculation:
density	7.34	g cm⁻³
total magnetic moment	0.0	μB/cell
space group	P4/mmm, No. 123
relative energy among the computed polymorphs	168	meV per atom
energy	-5.636	eV per atom

Structure (extended XYZ):
```
8
Lattice="-4.5842 2.5746 -1.5837 0.4399 -2.2781 -4.9768 -2.7015 -3.8679 1.5318" Properties=species:S:1:pos:R:3 pbc="T T T"
In -2.2924 1.2869 -0.7917
In -2.4813 -5.0066 -0.9568
O 0.0000 0.0000 0.0000
O -2.0722 0.1482 -3.2802
P -1.1290 -3.0704 -1.7235
P -3.6447 -0.6492 -0.0249
Tm -1.3508 -1.9340 0.7659
Tm -3.4229 -1.7857 -2.5144
```

[2]
DFT (PBE) results for a relaxed TmInPO crystal.

Values from the calculation:
density	6.05	g cm⁻³
total magnetic moment	0.0	μB/cell
space group	Pmc2_1, No. 26
relative energy among the computed polymorphs	74	meV per atom
energy	-5.730	eV per atom

Structure (extended XYZ):
```
8
Lattice="4.6096 0.0000 0.0000 0.0000 6.2617 0.0000 0.0000 0.0000 6.2919" Properties=species:S:1:pos:R:3 pbc="T T T"
In 0.0000 4.4967 2.8515
In 0.0000 1.7650 5.9975
O 2.3048 5.3770 2.4055
O 2.3048 0.8848 5.5515
P 0.0000 1.9104 2.3432
P 0.0000 4.3514 5.4891
Tm 2.3048 5.3217 0.2899
Tm 2.3048 0.9400 3.4359
```

[3]
DFT (PBE) results for a relaxed TmInPO crystal.

Values from the calculation:
density	7.25	g cm⁻³
total magnetic moment	0.0	μB/cell
space group	P4/nmm, No. 129
relative energy among the computed polymorphs	0	meV per atom
energy	-5.804	eV per atom

Structure (extended XYZ):
```
8
Lattice="4.3052 0.0000 0.0000 0.0000 4.3052 0.0000 0.0000 0.0000 8.1764" Properties=species:S:1:pos:R:3 pbc="T T T"
In 0.0000 0.0000 4.0882
In 2.1526 2.1526 4.0882
O 0.0000 0.0000 0.0000
O 2.1526 2.1526 0.0000
P 2.1526 0.0000 2.4824
P 0.0000 2.1526 5.6940
Tm 0.0000 2.1526 0.7562
Tm 2.1526 0.0000 7.4202
```

[4]
DFT (PBE) results for a relaxed TmInPO crystal.

Values from the calculation:
density	6.39	g cm⁻³
total magnetic moment	0.0	μB/cell
space group	Pmc2_1, No. 26
relative energy among the computed polymorphs	70	meV per atom
energy	-5.734	eV per atom

Structure (extended XYZ):
```
8
Lattice="3.9943 0.0000 0.0000 0.0000 7.6155 0.0000 0.0000 0.0000 5.6493" Properties=species:S:1:pos:R:3 pbc="T T T"
In 1.9972 4.7089 2.8032
In 1.9972 2.9067 5.6278
O 1.9972 2.2130 2.2867
O 1.9972 5.4025 5.1114
P 0.0000 6.2666 2.3885
P 0.0000 1.3489 5.2132
Tm 0.0000 1.3829 2.4305
Tm 0.0000 6.2327 5.2552
```

> The lowest energy belongs to which entry?

number 3

> Look up the relative energy among the computed polymorphs of the second one.

74 meV per atom

> Which value of relative energy among the computed polymorphs does entry 4 give?

70 meV per atom

> Among the records above, which one has the highest energy?

number 1